# Na3VAs2O8, relaxed, DFT GGA+U
data_Na3VAs2O8
_space_group_name_H-M_alt 'P 1'
_space_group_IT_number 1
_space_group_name_Hall 'P 1'
_cell_length_a 5.5539
_cell_length_b 5.5539
_cell_length_c 6.9060
_cell_angle_alpha 90.00
_cell_angle_beta 90.00
_cell_angle_gamma 120.00
loop_
_atom_site_label
_atom_site_type_symbol
_atom_site_fract_x
_atom_site_fract_y
_atom_site_fract_z
_atom_site_occupancy
Na1 Na 0.3333 0.6667 0.6671 1
Na2 Na 0.6667 0.3333 0.3329 1
Na3 Na 0.0000 0.0000 0.0000 1
V1 V 0.0000 0.0000 0.5000 1
As1 As 0.3333 0.6667 0.2232 1
As2 As 0.6667 0.3333 0.7768 1
O1 O 0.3333 0.6667 0.9823 1
O2 O 0.6667 0.3333 0.0177 1
O3 O 0.1676 0.8324 0.3195 1
O4 O 0.8324 0.1676 0.6805 1
O5 O 0.1676 0.3353 0.3195 1
O6 O 0.8324 0.6647 0.6805 1
O7 O 0.6647 0.8324 0.3195 1
O8 O 0.3353 0.1676 0.6805 1
# Total energy   -0.218 Ha/atom